#w
# La3Tl2Ag PBE relaxed
# Spin magnetization ... 0.34 μB per formula unit
data_La3Tl2Ag
_cell_length_a 3.783
_cell_length_b 3.783
_cell_length_c 12.693
_cell_angle_alpha 90.00
_cell_angle_beta 90.00
_cell_angle_gamma 90.00
_space_group_name_H-M_alt 'P 4/m m m'
_space_group_IT_number 123
_space_group_name_Hall '-P 4 2'
loop_
_atom_site_label
_atom_site_fract_x
_atom_site_fract_y
_atom_site_fract_z
La1 0.000 0.000 0.000
La2 0.000 0.000 0.346
Tl1 0.500 0.500 0.176
Ag1 0.500 0.500 0.500

---

#x
# La3Tl2Ag PBE relaxed
# Spin magnetization ... 0.85 μB per formula unit
data_La3Tl2Ag
_cell_length_a 5.5475
_cell_length_b 5.5475
_cell_length_c 13.7518
_cell_angle_alpha 90.00
_cell_angle_beta 90.00
_cell_angle_gamma 120.00
_space_group_name_H-M_alt 'P -3 m 1'
_space_group_IT_number 164
_space_group_name_Hall '-P 3 2"'
loop_
_atom_site_label
_atom_site_fract_x
_atom_site_fract_y
_atom_site_fract_z
La1 0.0000 0.0000 0.2441
La2 0.3333 0.6667 0.4091
La3 0.3333 0.6667 0.9145
Tl1 0.0000 0.0000 0.0000
Tl2 0.0000 0.0000 0.5000
Tl3 0.3333 0.6667 0.6660
Ag1 0.3333 0.6667 0.1620

---

Short version: #w, #x, most stable first.

---

#w
# LaTmTlAg PBE relaxed
# Spin magnetization ... 0.01 μB per formula unit
data_LaTmTlAg
_cell_length_a 7.618
_cell_length_b 7.618
_cell_length_c 7.618
_cell_angle_alpha 90.00
_cell_angle_beta 90.00
_cell_angle_gamma 90.00
_space_group_name_H-M_alt 'F -4 3 m'
_space_group_IT_number 216
_space_group_name_Hall 'F -4 2 3'
loop_
_atom_site_label
_atom_site_fract_x
_atom_site_fract_y
_atom_site_fract_z
La1 0.000 0.000 0.000
Tm1 0.000 0.000 0.500
Tl1 0.250 0.250 0.250
Ag1 0.250 0.250 0.750

---

#x
# LaTmTlAg PBE relaxed
# Spin magnetization ... 0.33 μB per formula unit
data_LaTmTlAg
_cell_length_a 3.693
_cell_length_b 3.693
_cell_length_c 7.960
_cell_angle_alpha 90.00
_cell_angle_beta 90.00
_cell_angle_gamma 90.00
_space_group_name_H-M_alt 'P 4 m m'
_space_group_IT_number 99
loop_
_space_group_symop_operation_xyz
'x,y,z'
'-y,x,z'
'-x,-y,z'
'y,-x,z'
'-x,y,z'
'y,x,z'
'x,-y,z'
'-y,-x,z'
loop_
_atom_site_label
_atom_site_fract_x
_atom_site_fract_y
_atom_site_fract_z
La1 0.000 0.000 0.000
Tm1 0.000 0.000 0.530
Tl1 0.500 0.500 0.281
Ag1 0.500 0.500 0.725

---

Short version: #x, #w, most stable first.

---

#w
# LaTm2Ag PBE relaxed
# Spin magnetization ... 0.00 μB per formula unit
data_LaTm2Ag
_cell_length_a 3.5890
_cell_length_b 3.5890
_cell_length_c 31.2872
_cell_angle_alpha 90.00
_cell_angle_beta 90.00
_cell_angle_gamma 120.00
_space_group_name_H-M_alt 'R -3 m'
_space_group_IT_number 166
_space_group_name_Hall '-R 3 2"'
loop_
_atom_site_label
_atom_site_fract_x
_atom_site_fract_y
_atom_site_fract_z
La1 0.0000 0.0000 0.0000
Tm1 0.0000 0.0000 0.2389
Ag1 0.0000 0.0000 0.5000

---

#x
# LaTm2Ag PBE relaxed
# Spin magnetization ... 0.00 μB per formula unit
data_LaTm2Ag
_cell_length_a 4.781
_cell_length_b 4.781
_cell_length_c 4.939
_cell_angle_alpha 90.00
_cell_angle_beta 90.00
_cell_angle_gamma 90.00
_space_group_name_H-M_alt 'P 4/m m m'
_space_group_IT_number 123
_space_group_name_Hall '-P 4 2'
loop_
_atom_site_label
_atom_site_fract_x
_atom_site_fract_y
_atom_site_fract_z
La1 0.000 0.000 0.000
Tm1 0.000 0.500 0.500
Ag1 0.500 0.500 0.000

---

#y
# LaTm2Ag PBE relaxed
# Spin magnetization ... 0.00 μB per formula unit
data_LaTm2Ag
_cell_length_a 3.6245
_cell_length_b 3.6245
_cell_length_c 31.1475
_cell_angle_alpha 90.00
_cell_angle_beta 90.00
_cell_angle_gamma 120.00
_space_group_name_H-M_alt 'R 3 m'
_space_group_IT_number 160
_space_group_name_Hall 'R 3 -2"'
loop_
_atom_site_label
_atom_site_fract_x
_atom_site_fract_y
_atom_site_fract_z
La1 0.0000 0.0000 0.0000
Tm1 0.0000 0.0000 0.2378
Tm2 0.0000 0.0000 0.4301
Ag1 0.0000 0.0000 0.8343

---

Short version: #w, #y, #x, most stable first.

---

#w
# LaTmAg4 PBE relaxed
# Spin magnetization ... 0.59 μB per formula unit
data_LaTmAg4
_cell_length_a 3.954
_cell_length_b 9.788
_cell_length_c 3.964
_cell_angle_alpha 90.00
_cell_angle_beta 90.00
_cell_angle_gamma 90.00
_space_group_name_H-M_alt 'P m m 2'
_space_group_IT_number 25
loop_
_space_group_symop_operation_xyz
'x,y,z'
'-x,-y,z'
'-x,y,z'
'x,-y,z'
loop_
_atom_site_label
_atom_site_fract_x
_atom_site_fract_y
_atom_site_fract_z
La1 0.000 0.000 0.000
Tm1 0.500 0.500 0.499
Ag1 0.000 0.265 0.499
Ag2 0.500 0.266 0.999

---

#x
# LaTmAg4 PBE relaxed
# Spin magnetization ... 0.00 μB per formula unit
data_LaTmAg4
_cell_length_a 8.155
_cell_length_b 8.155
_cell_length_c 8.155
_cell_angle_alpha 90.00
_cell_angle_beta 90.00
_cell_angle_gamma 90.00
_space_group_name_H-M_alt 'F -4 3 m'
_space_group_IT_number 216
_space_group_name_Hall 'F -4 2 3'
loop_
_atom_site_label
_atom_site_fract_x
_atom_site_fract_y
_atom_site_fract_z
La1 0.000 0.000 0.000
Tm1 0.250 0.250 0.250
Ag1 0.124 0.124 0.624

---

Short version: #x, #w, most stable first.

---

#w
# LaV3Ag PBE relaxed
# Spin magnetization ... 9.34 μB per formula unit
data_LaV3Ag
_cell_length_a 4.983
_cell_length_b 4.983
_cell_length_c 4.983
_cell_angle_alpha 90.00
_cell_angle_beta 90.00
_cell_angle_gamma 90.00
_space_group_name_H-M_alt 'P m -3 m'
_space_group_IT_number 221
_space_group_name_Hall '-P 4 2 3'
loop_
_atom_site_label
_atom_site_fract_x
_atom_site_fract_y
_atom_site_fract_z
La1 0.000 0.000 0.000
V1 0.000 0.500 0.500
Ag1 0.500 0.500 0.500

---

#x
# LaV3Ag PBE relaxed
# Spin magnetization ... 0.00 μB per formula unit
data_LaV3Ag
_cell_length_a 4.554
_cell_length_b 4.554
_cell_length_c 4.554
_cell_angle_alpha 90.00
_cell_angle_beta 90.00
_cell_angle_gamma 90.00
_space_group_name_H-M_alt 'P m -3 m'
_space_group_IT_number 221
_space_group_name_Hall '-P 4 2 3'
loop_
_atom_site_label
_atom_site_fract_x
_atom_site_fract_y
_atom_site_fract_z
La1 0.000 0.000 0.000
V1 0.000 0.000 0.500
Ag1 0.500 0.500 0.500

---

Short version: #w, #x, most stable first.

---

#w
# LaAgW2 PBE relaxed
# Spin magnetization ... 0.00 μB per formula unit
data_LaAgW2
_cell_length_a 11.235
_cell_length_b 2.847
_cell_length_c 5.208
_cell_angle_alpha 90.00
_cell_angle_beta 105.84
_cell_angle_gamma 90.00
_space_group_name_H-M_alt 'C 1 2/m 1'
_space_group_IT_number 12
loop_
_space_group_symop_operation_xyz
'x,y,z'
'-x,-y,-z'
'-x,y,-z'
'x,-y,z'
'x+1/2,y+1/2,z'
'-x+1/2,-y+1/2,-z'
'-x+1/2,y+1/2,-z'
'x+1/2,-y+1/2,z'
loop_
_atom_site_label
_atom_site_fract_x
_atom_site_fract_y
_atom_site_fract_z
La1 0.000 0.000 0.000
Ag1 0.000 0.500 0.500
W1 0.229 0.000 0.728

---

#x
# LaAgW2 PBE relaxed
# Spin magnetization ... 0.00 μB per formula unit
data_LaAgW2
_cell_length_a 6.830
_cell_length_b 6.830
_cell_length_c 6.830
_cell_angle_alpha 90.00
_cell_angle_beta 90.00
_cell_angle_gamma 90.00
_space_group_name_H-M_alt 'F -4 3 m'
_space_group_IT_number 216
_space_group_name_Hall 'F -4 2 3'
loop_
_atom_site_label
_atom_site_fract_x
_atom_site_fract_y
_atom_site_fract_z
La1 0.000 0.000 0.000
Ag1 0.250 0.250 0.250
W1 0.000 0.000 0.500
W2 0.250 0.250 0.750

---

#y
# LaAgW2 PBE relaxed
# Spin magnetization ... 0.33 μB per formula unit
data_LaAgW2
_cell_length_a 2.8872
_cell_length_b 2.8872
_cell_length_c 32.4358
_cell_angle_alpha 90.00
_cell_angle_beta 90.00
_cell_angle_gamma 120.00
_space_group_name_H-M_alt 'R -3 m'
_space_group_IT_number 166
_space_group_name_Hall '-R 3 2"'
loop_
_atom_site_label
_atom_site_fract_x
_atom_site_fract_y
_atom_site_fract_z
La1 0.0000 0.0000 0.0000
Ag1 0.0000 0.0000 0.5000
W1 0.0000 0.0000 0.2415

---

Short version: #x, #w, #y, most stable first.

---

#w
# La2AgW PBE relaxed
# Spin magnetization ... 0.00 μB per formula unit
data_La2AgW
_cell_length_a 6.587
_cell_length_b 3.110
_cell_length_c 9.932
_cell_angle_alpha 90.00
_cell_angle_beta 93.06
_cell_angle_gamma 90.00
_space_group_name_H-M_alt 'C 1 2/m 1'
_space_group_IT_number 12
loop_
_space_group_symop_operation_xyz
'x,y,z'
'-x,-y,-z'
'-x,y,-z'
'x,-y,z'
'x+1/2,y+1/2,z'
'-x+1/2,-y+1/2,-z'
'-x+1/2,y+1/2,-z'
'x+1/2,-y+1/2,z'
loop_
_atom_site_label
_atom_site_fract_x
_atom_site_fract_y
_atom_site_fract_z
La1 0.244 0.000 0.266
Ag1 0.000 0.500 0.000
W1 0.000 0.000 0.500

---

#x
# La2AgW PBE relaxed
# Spin magnetization ... 0.00 μB per formula unit
data_La2AgW
_cell_length_a 3.121
_cell_length_b 3.121
_cell_length_c 10.176
_cell_angle_alpha 90.00
_cell_angle_beta 90.00
_cell_angle_gamma 90.00
_space_group_name_H-M_alt 'P 4 m m'
_space_group_IT_number 99
loop_
_space_group_symop_operation_xyz
'x,y,z'
'-y,x,z'
'-x,-y,z'
'y,-x,z'
'-x,y,z'
'y,x,z'
'x,-y,z'
'-y,-x,z'
loop_
_atom_site_label
_atom_site_fract_x
_atom_site_fract_y
_atom_site_fract_z
La1 0.000 0.000 0.000
La2 0.500 0.500 0.348
Ag1 0.500 0.500 0.760
W1 0.000 0.000 0.580

---

Short version: #w, #x, most stable first.

---

#w
# La2AgW PBE relaxed
# Spin magnetization ... 0.00 μB per formula unit
data_La2AgW
_cell_length_a 11.677
_cell_length_b 3.119
_cell_length_c 5.617
_cell_angle_alpha 90.00
_cell_angle_beta 103.36
_cell_angle_gamma 90.00
_space_group_name_H-M_alt 'C 1 m 1'
_space_group_IT_number 8
loop_
_space_group_symop_operation_xyz
'x,y,z'
'x,-y,z'
'x+1/2,y+1/2,z'
'x+1/2,-y+1/2,z'
loop_
_atom_site_label
_atom_site_fract_x
_atom_site_fract_y
_atom_site_fract_z
La1 0.000 0.000 0.000
La2 0.193 0.000 0.623
Ag1 0.262 0.500 0.166
W1 0.443 0.000 0.488

---

#x
# La2AgW PBE relaxed
# Spin magnetization ... 0.00 μB per formula unit
data_La2AgW
_cell_length_a 3.357
_cell_length_b 3.899
_cell_length_c 8.170
_cell_angle_alpha 90.00
_cell_angle_beta 90.00
_cell_angle_gamma 90.00
_space_group_name_H-M_alt 'P m m 2'
_space_group_IT_number 25
loop_
_space_group_symop_operation_xyz
'x,y,z'
'-x,-y,z'
'-x,y,z'
'x,-y,z'
loop_
_atom_site_label
_atom_site_fract_x
_atom_site_fract_y
_atom_site_fract_z
La1 0.000 0.000 0.000
La2 0.500 0.500 0.386
Ag1 0.500 0.500 0.772
W1 0.000 0.000 0.631

---

Short version: #w, #x, most stable first.

---

#w
# La2AgW PBE relaxed
# Spin magnetization ... 0.00 μB per formula unit
data_La2AgW
_cell_length_a 3.215
_cell_length_b 5.426
_cell_length_c 5.763
_cell_angle_alpha 90.00
_cell_angle_beta 90.00
_cell_angle_gamma 90.00
_space_group_name_H-M_alt 'P m m 2'
_space_group_IT_number 25
loop_
_space_group_symop_operation_xyz
'x,y,z'
'-x,-y,z'
'-x,y,z'
'x,-y,z'
loop_
_atom_site_label
_atom_site_fract_x
_atom_site_fract_y
_atom_site_fract_z
La1 0.000 0.000 0.000
La2 0.000 0.500 0.436
Ag1 0.500 0.000 0.530
W1 0.500 0.500 0.902

---

#x
# La2AgW PBE relaxed
# Spin magnetization ... 0.00 μB per formula unit
data_La2AgW
_cell_length_a 4.491
_cell_length_b 4.491
_cell_length_c 9.652
_cell_angle_alpha 90.00
_cell_angle_beta 90.00
_cell_angle_gamma 90.00
_space_group_name_H-M_alt 'I -4 m 2'
_space_group_IT_number 119
_space_group_name_Hall 'I -4 -2'
loop_
_atom_site_label
_atom_site_fract_x
_atom_site_fract_y
_atom_site_fract_z
La1 0.000 0.000 0.000
La2 0.000 0.500 0.250
Ag1 0.000 0.000 0.500
W1 0.000 0.500 0.750

---

Short version: #w, #x, most stable first.

---

#w
# LaAgW PBE relaxed
# Spin magnetization ... 0.00 μB per formula unit
data_LaAgW
_cell_length_a 2.919
_cell_length_b 2.919
_cell_length_c 14.749
_cell_angle_alpha 90.00
_cell_angle_beta 90.00
_cell_angle_gamma 90.00
_space_group_name_H-M_alt 'I 4 m m'
_space_group_IT_number 107
_space_group_name_Hall 'I 4 -2'
loop_
_atom_site_label
_atom_site_fract_x
_atom_site_fract_y
_atom_site_fract_z
La1 0.000 0.000 0.000
Ag1 0.000 0.000 0.685
W1 0.000 0.000 0.325

---

#x
# LaAgW PBE relaxed
# Spin magnetization ... 1.84 μB per formula unit
data_LaAgW
_cell_length_a 6.723
_cell_length_b 6.723
_cell_length_c 6.723
_cell_angle_alpha 90.00
_cell_angle_beta 90.00
_cell_angle_gamma 90.00
_space_group_name_H-M_alt 'F -4 3 m'
_space_group_IT_number 216
_space_group_name_Hall 'F -4 2 3'
loop_
_atom_site_label
_atom_site_fract_x
_atom_site_fract_y
_atom_site_fract_z
La1 0.000 0.000 0.000
Ag1 0.000 0.000 0.500
W1 0.250 0.250 0.750

---

Short version: #w, #x, most stable first.

---

#w
# LaAgW PBE relaxed
# Spin magnetization ... 0.00 μB per formula unit
data_LaAgW
_cell_length_a 2.949
_cell_length_b 3.961
_cell_length_c 11.490
_cell_angle_alpha 90.00
_cell_angle_beta 90.00
_cell_angle_gamma 90.00
_space_group_name_H-M_alt 'I m m 2'
_space_group_IT_number 44
loop_
_space_group_symop_operation_xyz
'x,y,z'
'-x,-y,z'
'-x,y,z'
'x,-y,z'
'x+1/2,y+1/2,z+1/2'
'-x+1/2,-y+1/2,z+1/2'
'-x+1/2,y+1/2,z+1/2'
'x+1/2,-y+1/2,z+1/2'
loop_
_atom_site_label
_atom_site_fract_x
_atom_site_fract_y
_atom_site_fract_z
La1 0.000 0.000 0.000
Ag1 0.000 0.000 0.701
W1 0.000 0.000 0.315

---

#x
# LaAgW PBE relaxed
# Spin magnetization ... 0.00 μB per formula unit
data_LaAgW
_cell_length_a 5.0877
_cell_length_b 5.0877
_cell_length_c 2.9146
_cell_angle_alpha 90.00
_cell_angle_beta 90.00
_cell_angle_gamma 120.00
_space_group_name_H-M_alt 'P -6 m 2'
_space_group_IT_number 187
_space_group_name_Hall 'P -6 2'
loop_
_atom_site_label
_atom_site_fract_x
_atom_site_fract_y
_atom_site_fract_z
La1 0.0000 0.0000 0.0000
Ag1 0.3333 0.6667 0.5000
W1 0.6667 0.3333 0.5000

---

#y
# LaAgW PBE relaxed
# Spin magnetization ... 2.78 μB per formula unit
data_LaAgW
_cell_length_a 6.952
_cell_length_b 6.952
_cell_length_c 6.952
_cell_angle_alpha 90.00
_cell_angle_beta 90.00
_cell_angle_gamma 90.00
_space_group_name_H-M_alt 'F -4 3 m'
_space_group_IT_number 216
_space_group_name_Hall 'F -4 2 3'
loop_
_atom_site_label
_atom_site_fract_x
_atom_site_fract_y
_atom_site_fract_z
La1 0.000 0.000 0.000
Ag1 0.250 0.250 0.750
W1 0.250 0.250 0.250

---

Short version: #w, #x, #y, most stable first.

---

#w
# LaAgW3 PBE relaxed
# Spin magnetization ... 0.00 μB per formula unit
data_LaAgW3
_cell_length_a 4.929
_cell_length_b 4.929
_cell_length_c 4.929
_cell_angle_alpha 90.00
_cell_angle_beta 90.00
_cell_angle_gamma 90.00
_space_group_name_H-M_alt 'P m -3 m'
_space_group_IT_number 221
_space_group_name_Hall '-P 4 2 3'
loop_
_atom_site_label
_atom_site_fract_x
_atom_site_fract_y
_atom_site_fract_z
La1 0.000 0.000 0.000
Ag1 0.500 0.500 0.500
W1 0.000 0.500 0.500

---

#x
# LaAgW3 PBE relaxed
# Spin magnetization ... 0.00 μB per formula unit
data_LaAgW3
_cell_length_a 4.842
_cell_length_b 4.842
_cell_length_c 4.842
_cell_angle_alpha 90.00
_cell_angle_beta 90.00
_cell_angle_gamma 90.00
_space_group_name_H-M_alt 'P m -3 m'
_space_group_IT_number 221
_space_group_name_Hall '-P 4 2 3'
loop_
_atom_site_label
_atom_site_fract_x
_atom_site_fract_y
_atom_site_fract_z
La1 0.000 0.000 0.000
Ag1 0.500 0.500 0.500
W1 0.000 0.000 0.500

---

Short version: #w, #x, most stable first.

---

#w
# La4YAg PBE relaxed
# Spin magnetization ... 0.00 μB per formula unit
data_La4YAg
_cell_length_a 3.773
_cell_length_b 3.773
_cell_length_c 13.933
_cell_angle_alpha 90.00
_cell_angle_beta 90.00
_cell_angle_gamma 90.00
_space_group_name_H-M_alt 'P 4/m m m'
_space_group_IT_number 123
_space_group_name_Hall '-P 4 2'
loop_
_atom_site_label
_atom_site_fract_x
_atom_site_fract_y
_atom_site_fract_z
La1 0.000 0.000 0.139
La2 0.500 0.500 0.322
Y1 0.000 0.000 0.500
Ag1 0.500 0.500 0.000

---

#x
# La4YAg PBE relaxed
# Spin magnetization ... 0.02 μB per formula unit
data_La4YAg
_cell_length_a 9.326
_cell_length_b 9.326
_cell_length_c 9.326
_cell_angle_alpha 90.00
_cell_angle_beta 90.00
_cell_angle_gamma 90.00
_space_group_name_H-M_alt 'F -4 3 m'
_space_group_IT_number 216
_space_group_name_Hall 'F -4 2 3'
loop_
_atom_site_label
_atom_site_fract_x
_atom_site_fract_y
_atom_site_fract_z
La1 0.125 0.125 0.125
Y1 0.250 0.250 0.750
Ag1 0.000 0.000 0.500

---

Short version: #w, #x, most stable first.